Pm2MgZr | Alexandria | GGA-PBE | relaxed; calculated volume = 28.28 Å³ per atom; energy above the most stable polymorph in this dataset = 78.5 meV/atom; density = 5.953 Mg/m³; VASP energy = -4.807 eV per atom; Fermi-level density of states = 1.44 states/eV per atom; size of the total moment = 0.00 μB/cell; formation energy = 0.104 eV/atom
1.0
3.535 0.000 0.000
0.000 5.657 0.000
0.000 0.000 5.657
Mg Zr Pm
1 1 2
Direct
0.500 0.000 0.000
0.500 0.500 0.500
0.000 0.000 0.500
0.000 0.500 0.000

Pr4Mg | Alexandria | GGA-PBE | relaxed; calculated volume = 33.95 Å³ per atom; energy above the most stable polymorph in this dataset = 0.0 meV/atom; density = 5.752 Mg/m³; VASP energy = -4.174 eV per atom; Fermi-level density of states = 1.28 states/eV per atom; size of the total moment = 0.00 μB/cell; formation energy = -0.031 eV/atom
1.0
3.755 0.000 0.000
0.000 3.755 0.000
-1.877 -1.877 12.041
Pr Mg
4 1
Direct
0.589 0.589 0.179
0.196 0.196 0.391
0.804 0.804 0.609
0.411 0.411 0.821
0.000 0.000 0.000

Pr3Mg | Alexandria | GGA-PBE | relaxed; calculated volume = 32.74 Å³ per atom; density = 5.669 Mg/m³; VASP energy = -3.992 eV per atom; Fermi-level density of states = 1.90 states/eV per atom; size of the total moment = 0.00 μB/cell; formation energy = -0.009 eV/atom
1.0
5.078 0.000 0.000
0.000 5.078 0.000
0.000 0.000 5.078
Pr Mg
3 1
Direct
0.000 0.500 0.500
0.500 0.000 0.500
0.500 0.500 0.000
0.000 0.000 0.000

Pr3Mg2 | Alexandria | GGA-PBE | relaxed; calculated volume = 31.44 Å³ per atom; energy above the most stable polymorph in this dataset = 6.2 meV/atom; density = 4.979 Mg/m³; VASP energy = -3.584 eV per atom; Fermi-level density of states = 1.10 states/eV per atom; size of the total moment = 0.00 μB/cell; formation energy = -0.078 eV/atom
1.0
-2.738 -2.397 -1.383
2.686 -1.838 -2.135
1.789 -4.427 9.613
Pr Mg
3 2
Direct
0.689 0.189 0.378
0.311 0.811 0.622
0.500 0.000 0.000
0.906 0.406 0.812
0.094 0.594 0.188

Pr4Mg | Alexandria | GGA-PBE | relaxed; calculated volume = 39.89 Å³ per atom; energy above the most stable polymorph in this dataset = 535.8 meV/atom; density = 4.895 Mg/m³; VASP energy = -3.638 eV per atom; Fermi-level density of states = 1.56 states/eV per atom; size of the total moment = 0.00 μB/cell; formation energy = 0.505 eV/atom
1.0
5.843 0.000 0.000
0.000 5.843 0.000
0.000 0.000 5.843
Pr Mg
4 1
Direct
0.000 0.000 0.000
0.500 0.000 0.500
0.000 0.500 0.500
0.500 0.500 0.000
0.500 0.500 0.500

Pr3Mg2 | Alexandria | GGA-PBE | relaxed; calculated volume = 31.37 Å³ per atom; energy above the most stable polymorph in this dataset = 0.0 meV/atom; density = 4.991 Mg/m³; VASP energy = -3.590 eV per atom; Fermi-level density of states = 1.09 states/eV per atom; size of the total moment = 0.00 μB/cell; formation energy = -0.084 eV/atom
1.0
-2.519 1.386 2.584
-2.346 -2.996 -0.681
9.548 -10.924 15.169
Pr Mg
6 4
Direct
0.000 0.000 0.879
0.000 0.000 0.121
0.000 0.000 0.312
0.000 0.000 0.500
0.000 0.000 0.688
0.500 0.500 0.000
0.500 0.500 0.216
0.500 0.500 0.405
0.500 0.500 0.595
0.500 0.500 0.784

Pr2Mg17 | Alexandria | GGA-PBE | relaxed; calculated volume = 24.62 Å³ per atom; density = 2.467 Mg/m³; VASP energy = -1.994 eV per atom; Fermi-level density of states = 0.44 states/eV per atom; size of the total moment = 0.00 μB/cell; formation energy = -0.064 eV/atom
1.0
-6.816 -3.536 1.522
0.858 -6.067 -4.871
2.654 -5.179 5.235
Pr Mg
2 17
Direct
0.330 0.330 0.330
0.670 0.670 0.670
0.647 0.647 0.159
0.159 0.647 0.647
0.901 0.901 0.901
0.099 0.099 0.099
0.000 0.000 0.500
0.000 0.500 0.000
0.500 0.000 0.000
0.300 0.700 0.000
0.700 0.000 0.300
0.000 0.300 0.700
0.700 0.300 0.000
0.300 0.000 0.700
0.000 0.700 0.300
0.841 0.353 0.353
0.353 0.353 0.841
0.353 0.841 0.353
0.647 0.159 0.647

Pr13Mg2 | Alexandria | GGA-PBE | relaxed; calculated volume = 34.56 Å³ per atom; density = 6.024 Mg/m³; VASP energy = -4.345 eV per atom; Fermi-level density of states = 1.48 states/eV per atom; size of the total moment = 0.00 μB/cell; formation energy = 0.009 eV/atom
1.0
6.257 -0.150 1.278
-0.951 8.233 0.340
0.822 -3.682 10.020
Pr Mg
13 2
Direct
0.736 0.601 0.066
0.264 0.399 0.934
0.000 0.000 0.000
0.312 0.999 0.659
0.688 0.001 0.341
0.058 0.596 0.724
0.942 0.404 0.276
0.432 0.609 0.402
0.568 0.391 0.598
0.532 0.797 0.858
0.468 0.203 0.142
0.795 0.193 0.788
0.205 0.807 0.212
0.867 0.801 0.533
0.133 0.199 0.467

Pr3Mg | Alexandria | GGA-PBE | relaxed; calculated volume = 33.17 Å³ per atom; density = 5.594 Mg/m³; VASP energy = -4.007 eV per atom; Fermi-level density of states = 1.09 states/eV per atom; size of the total moment = 0.00 μB/cell; formation energy = -0.023 eV/atom
1.0
3.754 0.000 0.000
0.000 6.067 0.000
-1.877 -3.033 5.826
Pr Mg
3 1
Direct
0.268 0.621 0.536
0.500 0.473 0.000
0.732 0.085 0.464
0.000 0.988 0.000

PrMg5 | Alexandria | GGA-PBE | relaxed; calculated volume = 25.86 Å³ per atom; density = 2.809 Mg/m³; VASP energy = -2.174 eV per atom; Fermi-level density of states = 0.70 states/eV per atom; size of the total moment = 0.00 μB/cell; formation energy = -0.049 eV/atom
1.0
-1.567 2.506 3.924
-4.305 -1.603 -0.696
3.506 -4.553 4.309
Pr Mg
1 5
Direct
0.000 0.000 0.000
0.500 0.832 0.665
0.000 0.677 0.353
0.500 0.500 0.000
0.000 0.323 0.647
0.500 0.168 0.335

Pr4Mg | Alexandria | GGA-PBE | relaxed; calculated volume = 35.47 Å³ per atom; energy above the most stable polymorph in this dataset = 137.4 meV/atom; density = 5.506 Mg/m³; VASP energy = -4.036 eV per atom; Fermi-level density of states = 1.44 states/eV per atom; size of the total moment = 0.00 μB/cell; formation energy = 0.106 eV/atom
1.0
3.944 -0.025 0.000
0.059 8.272 0.000
0.000 0.000 10.870
Pr Mg
8 2
Direct
0.001 0.193 0.500
0.499 0.307 0.000
0.999 0.807 0.500
0.501 0.693 0.000
0.000 0.500 0.749
0.500 0.000 0.249
0.000 0.500 0.251
0.500 0.000 0.751
0.000 0.000 0.000
0.500 0.500 0.500

Pr3Mg | Alexandria | GGA-PBE | relaxed; calculated volume = 34.51 Å³ per atom; density = 5.377 Mg/m³; VASP energy = -3.815 eV per atom; Fermi-level density of states = 1.49 states/eV per atom; size of the total moment = 0.00 μB/cell; formation energy = 0.168 eV/atom
1.0
-2.486 1.213 -2.161
-2.267 -2.352 1.288
-3.200 7.361 7.813
Pr Mg
3 1
Direct
0.000 0.500 0.469
0.500 0.500 0.184
0.500 0.000 0.710
0.000 0.000 0.971

Look up the density of the sixth one. 4.991 Mg/m³

Among the records above, which one has the lowest formation energy? number 6

Number 12 is which compound? Pr3Mg